1.
Density functional theory data (PBE-GGA) for LiCa2MnOs after structural relaxation.

Cell: 5.600 5.600 4.603 Å, 90.00 90.00 90.00°
Space group P4/mmm (No. 123)
Symmetry-distinct sites (fractional):
Li  0.000  0.000  0.000 x1
Ca  0.000  0.500  0.500 x2
Mn  0.500  0.500  0.000 x1
Os  0.500  0.500  0.500 x1

Values from the calculation:
- D(E_F) (states/eV/f.u.) = 2.94
- ΔE_f (eV/atom) = 0.4670

***

2.
Density functional theory data (PBE-GGA) for BaBiF after structural relaxation.

Cell: 4.389 4.389 18.816 Å, 90.00 90.00 90.00°
Space group I4/mmm (No. 139)
Symmetry-distinct sites (fractional):
Ba  0.000  0.000  0.090 x4
Bi  0.000  0.000  0.276 x4
F  0.000  0.500  0.000 x4

Values from the calculation:
- D(E_F) (states/eV/f.u.) = 0.63

***

3.
Density functional theory data (PBE-GGA) for Ba2SrAs after structural relaxation.

Cell: 5.106 5.106 11.730 Å, 90.00 90.00 90.00°
Space group I4/mmm (No. 139)
Symmetry-distinct sites (fractional):
Ba  0.000  0.500  0.250 x4
Sr  0.000  0.000  0.000 x2
As  0.000  0.000  0.500 x2

Values from the calculation:
- D(E_F) (states/eV/f.u.) = 3.01
- ΔE_f (eV/atom) = -0.2966

***

4.
Density functional theory data (PBE-GGA) for HfSiSn3 after structural relaxation.

Cell: 5.499 5.499 5.499 Å, 90.00 90.00 90.00°
Space group Pm-3m (No. 221)
Symmetry-distinct sites (fractional):
Hf  0.000  0.000  0.000 x1
Si  0.500  0.500  0.500 x1
Sn  0.000  0.000  0.500 x3

Values from the calculation:
- D(E_F) (states/eV/f.u.) = 5.34

***

5.
Density functional theory data (PBE-GGA) for Zn2InSb after structural relaxation.

Cell: 3.609 3.609 6.765 Å, 90.00 90.00 90.00°
Space group P4/mmm (No. 123)
Symmetry-distinct sites (fractional):
Zn  0.000  0.000  0.242 x2
In  0.500  0.500  0.500 x1
Sb  0.500  0.500  0.000 x1

Values from the calculation:
- D(E_F) (states/eV/f.u.) = 1.04

***

6.
Density functional theory data (PBE-GGA) for Pm4Nd5 after structural relaxation.

Cell: 11.002 11.002 5.192 Å, 90.00 90.00 90.00°
Space group I4/mmm (No. 139)
Symmetry-distinct sites (fractional):
Pm  0.000  0.334  0.000 x8
Nd  0.000  0.000  0.000 x2
Nd  0.167  0.167  0.500 x8

Values from the calculation:
- D(E_F) (states/eV/f.u.) = 14.59
- ΔE_f (eV/atom) = 0.0127

***

7.
Density functional theory data (PBE-GGA) for SiBTe2I after structural relaxation.

Cell: 4.940 4.940 4.931 Å, 90.00 90.00 90.00°
Space group P4/mmm (No. 123)
Symmetry-distinct sites (fractional):
Si  0.000  0.000  0.000 x1
B  0.500  0.500  0.500 x1
Te  0.000  0.500  0.500 x2
I  0.500  0.500  0.000 x1

Values from the calculation:
- D(E_F) (states/eV/f.u.) = 3.41

***

8.
Density functional theory data (PBE-GGA) for Cs2Tl5Pt2 after structural relaxation.

Cell: 21.347 8.428 7.503 Å, 90.00 90.00 90.00°
Space group Ima2 (No. 46)
Symmetry-distinct sites (fractional):
Cs  0.147  0.080  0.000 x8
Tl  0.022  0.750  0.245 x8
Tl  0.126  0.515  0.000 x8
Tl  0.250  0.749  0.753 x4
Pt  0.000  0.000  0.494 x4
Pt  0.250  0.522  0.005 x4

Values from the calculation:
- D(E_F) (states/eV/f.u.) = 5.44
- ΔE_f (eV/atom) = -0.0477

***

9.
Density functional theory data (PBE-GGA) for LaTcRu2 after structural relaxation.

Cell: 4.412 4.412 7.154 Å, 90.00 90.00 90.00°
Space group I-4m2 (No. 119)
Symmetry-distinct sites (fractional):
La  0.000  0.000  0.000 x2
Tc  0.000  0.500  0.250 x2
Ru  0.000  0.000  0.500 x2
Ru  0.000  0.500  0.750 x2

Values from the calculation:
- D(E_F) (states/eV/f.u.) = 6.31
- ΔE_f (eV/atom) = 0.4759

***

10.
Density functional theory data (PBE-GGA) for Ba3I5Cl after structural relaxation.

Cell: 15.053 11.474 11.754 Å, 90.00 109.11 90.00°
Space group C2/m (No. 12)
Symmetry-distinct sites (fractional):
Ba  0.000  0.000  0.000 x2
Ba  0.000  0.000  0.500 x2
Ba  0.162  0.500  0.160 x4
Ba  0.202  0.500  0.618 x4
I  0.000  0.299  0.000 x4
I  0.025  0.500  0.342 x4
I  0.188  0.188  0.630 x8
I  0.240  0.000  0.067 x4
Cl  0.078  0.000  0.285 x4

Values from the calculation:
- D(E_F) (states/eV/f.u.) = 0.00

***

11.
Density functional theory data (PBE-GGA) for NaSc2Te4Au after structural relaxation.

Cell: 4.119 14.259 15.563 Å, 90.00 90.00 90.00°
Space group Cmcm (No. 63)
Symmetry-distinct sites (fractional):
Na  0.000  0.161  0.250 x4
Sc  0.000  0.382  0.085 x8
Te  0.000  0.000  0.000 x4
Te  0.000  0.261  0.602 x8
Te  0.000  0.479  0.250 x4
Au  0.000  0.154  0.750 x4

***

12.
Density functional theory data (PBE-GGA) for Ho2NpAs3 after structural relaxation.

Cell: 4.103 4.103 17.352 Å, 90.00 90.00 90.00°
Space group I4/mmm (No. 139)
Symmetry-distinct sites (fractional):
Ho  0.000  0.000  0.168 x4
Np  0.000  0.000  0.500 x2
As  0.000  0.000  0.000 x2
As  0.000  0.000  0.334 x4

Values from the calculation:
- D(E_F) (states/eV/f.u.) = 9.57
- ΔE_f (eV/atom) = -1.2388

***

We obtain total moment values of 0.659; 0.000; 0.000; 0.000; 0.000; 0.000; 0.000; 0.000; 0.001; 0.000; 0.000; 0.635 μB per atom for the records listed above, in that order.
We obtain uncorrected energy values of -4.80; -4.63; -2.84; -4.67; -2.18; -4.75; -3.03; -2.89; -7.99; -3.57; -4.65; -7.25 eV/atom for the records listed above, in that order.